No. 1
DFT (PBE) results for an optimized crystal structure of ScHPtRh2.

```
data_ScHPtRh2
_cell_length_a 3.9410
_cell_length_b 3.9410
_cell_length_c 4.1112
_cell_angle_alpha 90.00
_cell_angle_beta 90.00
_cell_angle_gamma 90.00
_space_group_name_H-M_alt 'P 4/m m m'
_space_group_IT_number 123
_space_group_name_Hall '-P 4 2'
loop_
_atom_site_label
_atom_site_fract_x
_atom_site_fract_y
_atom_site_fract_z
Sc1 0.0000 0.0000 0.0000
H1 0.0000 0.0000 0.5000
Pt1 0.5000 0.5000 0.0000
Rh1 0.0000 0.5000 0.5000
```

Summary:
- crystal system = tetragonal
- energy relative to the lowest polymorph listed for this composition (eV/f.u.) = 0.00



No. 2
DFT (PBE) results for an optimized crystal structure of SmH8PtRh4.

```
data_SmH8PtRh4
_cell_length_a 5.6844
_cell_length_b 5.6844
_cell_length_c 13.8500
_cell_angle_alpha 90.00
_cell_angle_beta 90.00
_cell_angle_gamma 120.00
_space_group_name_H-M_alt 'R 3 m'
_space_group_IT_number 160
_space_group_name_Hall 'R 3 -2"'
loop_
_atom_site_label
_atom_site_fract_x
_atom_site_fract_y
_atom_site_fract_z
Sm1 0.0000 0.0000 0.0000
H1 0.0000 0.0000 0.1593
H2 0.0000 0.0000 0.6164
H3 0.1977 0.3954 0.5001
H4 0.2148 0.4295 0.9506
Pt1 0.0000 0.0000 0.3839
Rh1 0.0000 0.0000 0.7507
Rh2 0.1695 0.3389 0.2094
```

Summary:
- crystal system = trigonal



No. 3
DFT (PBE) results for an optimized crystal structure of SmH8Pt2Rh3.

```
data_SmH8Pt2Rh3
_cell_length_a 5.6919
_cell_length_b 5.6919
_cell_length_c 14.0196
_cell_angle_alpha 90.00
_cell_angle_beta 90.00
_cell_angle_gamma 120.00
_space_group_name_H-M_alt 'R 3 m'
_space_group_IT_number 160
_space_group_name_Hall 'R 3 -2"'
loop_
_atom_site_label
_atom_site_fract_x
_atom_site_fract_y
_atom_site_fract_z
Sm1 0.0000 0.0000 0.0000
H1 0.0000 0.0000 0.1568
H2 0.0000 0.0000 0.6136
H3 0.1870 0.3740 0.4918
H4 0.2135 0.4269 0.9465
Pt1 0.0000 0.0000 0.3790
Pt2 0.0000 0.0000 0.7449
Rh1 0.1687 0.3374 0.2058
```

Summary:
- crystal system = trigonal



No. 4
DFT (PBE) results for an optimized crystal structure of SnHPt2Rh.

```
data_SnHPt2Rh
_cell_length_a 4.0503
_cell_length_b 4.0503
_cell_length_c 4.1458
_cell_angle_alpha 90.00
_cell_angle_beta 90.00
_cell_angle_gamma 90.00
_space_group_name_H-M_alt 'P 4/m m m'
_space_group_IT_number 123
_space_group_name_Hall '-P 4 2'
loop_
_atom_site_label
_atom_site_fract_x
_atom_site_fract_y
_atom_site_fract_z
Sn1 0.0000 0.0000 0.0000
H1 0.5000 0.5000 0.5000
Pt1 0.0000 0.5000 0.5000
Rh1 0.5000 0.5000 0.0000
```

Summary:
- crystal system = tetragonal



No. 5
DFT (PBE) results for an optimized crystal structure of Sr2H6PtRh.

```
data_Sr2H6PtRh
_cell_length_a 5.3042
_cell_length_b 5.3042
_cell_length_c 7.9613
_cell_angle_alpha 90.00
_cell_angle_beta 90.00
_cell_angle_gamma 90.00
_space_group_name_H-M_alt 'I 4/m m m'
_space_group_IT_number 139
_space_group_name_Hall '-I 4 2'
loop_
_atom_site_label
_atom_site_fract_x
_atom_site_fract_y
_atom_site_fract_z
Sr1 0.0000 0.5000 0.2500
H1 0.0000 0.0000 0.2202
H2 0.2491 0.2491 0.0000
Pt1 0.0000 0.0000 0.5000
Rh1 0.0000 0.0000 0.0000
```

Summary:
- crystal system = tetragonal



No. 6
DFT (PBE) results for an optimized crystal structure of TaHPt2Rh.

```
data_TaHPt2Rh
_cell_length_a 4.0003
_cell_length_b 4.0003
_cell_length_c 4.0759
_cell_angle_alpha 90.00
_cell_angle_beta 90.00
_cell_angle_gamma 90.00
_space_group_name_H-M_alt 'P 4/m m m'
_space_group_IT_number 123
_space_group_name_Hall '-P 4 2'
loop_
_atom_site_label
_atom_site_fract_x
_atom_site_fract_y
_atom_site_fract_z
Ta1 0.0000 0.0000 0.0000
H1 0.5000 0.5000 0.5000
Pt1 0.0000 0.5000 0.5000
Rh1 0.5000 0.5000 0.0000
```

Summary:
- crystal system = tetragonal
- energy relative to the lowest polymorph listed for this composition (eV/f.u.) = 0.00



No. 7
DFT (PBE) results for an optimized crystal structure of TaHPt2Rh.

```
data_TaHPt2Rh
_cell_length_a 3.9416
_cell_length_b 3.9416
_cell_length_c 4.2086
_cell_angle_alpha 90.00
_cell_angle_beta 90.00
_cell_angle_gamma 90.00
_space_group_name_H-M_alt 'P 4/m m m'
_space_group_IT_number 123
_space_group_name_Hall '-P 4 2'
loop_
_atom_site_label
_atom_site_fract_x
_atom_site_fract_y
_atom_site_fract_z
Ta1 0.0000 0.0000 0.0000
H1 0.0000 0.0000 0.5000
Pt1 0.0000 0.5000 0.5000
Rh1 0.5000 0.5000 0.0000
```

Summary:
- crystal system = tetragonal
- energy relative to the lowest polymorph listed for this composition (eV/f.u.) = 0.08



No. 8
DFT (PBE) results for an optimized crystal structure of TaHPtRh2.

```
data_TaHPtRh2
_cell_length_a 4.0131
_cell_length_b 4.0131
_cell_length_c 3.9287
_cell_angle_alpha 90.00
_cell_angle_beta 90.00
_cell_angle_gamma 90.00
_space_group_name_H-M_alt 'P 4/m m m'
_space_group_IT_number 123
_space_group_name_Hall '-P 4 2'
loop_
_atom_site_label
_atom_site_fract_x
_atom_site_fract_y
_atom_site_fract_z
Ta1 0.0000 0.0000 0.0000
H1 0.5000 0.5000 0.5000
Pt1 0.5000 0.5000 0.0000
Rh1 0.0000 0.5000 0.5000
```

Summary:
- crystal system = tetragonal
- energy relative to the lowest polymorph listed for this composition (eV/f.u.) = 0.00



No. 9
DFT (PBE) results for an optimized crystal structure of TaHPtRh2.

```
data_TaHPtRh2
_cell_length_a 3.9457
_cell_length_b 3.9457
_cell_length_c 4.0629
_cell_angle_alpha 90.00
_cell_angle_beta 90.00
_cell_angle_gamma 90.00
_space_group_name_H-M_alt 'P 4/m m m'
_space_group_IT_number 123
_space_group_name_Hall '-P 4 2'
loop_
_atom_site_label
_atom_site_fract_x
_atom_site_fract_y
_atom_site_fract_z
Ta1 0.0000 0.0000 0.0000
H1 0.0000 0.0000 0.5000
Pt1 0.5000 0.5000 0.0000
Rh1 0.0000 0.5000 0.5000
```

Summary:
- crystal system = tetragonal
- energy relative to the lowest polymorph listed for this composition (eV/f.u.) = 0.14



No. 10
DFT (PBE) results for an optimized crystal structure of TbHPtRh2.

```
data_TbHPtRh2
_cell_length_a 4.1437
_cell_length_b 4.1437
_cell_length_c 4.0610
_cell_angle_alpha 90.00
_cell_angle_beta 90.00
_cell_angle_gamma 90.00
_space_group_name_H-M_alt 'P 4/m m m'
_space_group_IT_number 123
_space_group_name_Hall '-P 4 2'
loop_
_atom_site_label
_atom_site_fract_x
_atom_site_fract_y
_atom_site_fract_z
Tb1 0.0000 0.0000 0.0000
H1 0.5000 0.5000 0.5000
Pt1 0.5000 0.5000 0.0000
Rh1 0.0000 0.5000 0.5000
```

Summary:
- crystal system = tetragonal



No. 11
DFT (PBE) results for an optimized crystal structure of TbH8Pt2Rh3.

```
data_TbH8Pt2Rh3
_cell_length_a 5.6652
_cell_length_b 5.6652
_cell_length_c 13.9761
_cell_angle_alpha 90.00
_cell_angle_beta 90.00
_cell_angle_gamma 120.00
_space_group_name_H-M_alt 'R 3 m'
_space_group_IT_number 160
_space_group_name_Hall 'R 3 -2"'
loop_
_atom_site_label
_atom_site_fract_x
_atom_site_fract_y
_atom_site_fract_z
Tb1 0.0000 0.0000 0.0000
H1 0.0000 0.0000 0.3876
H2 0.0000 0.0000 0.8455
H3 0.0427 0.5213 0.8412
H4 0.0890 0.5445 0.3867
Pt1 0.0000 0.0000 0.2563
Pt2 0.0000 0.0000 0.6217
Rh1 0.0035 0.5018 0.1281
```

Summary:
- crystal system = trigonal



No. 12
DFT (PBE) results for an optimized crystal structure of TbH8PtRh4.

```
data_TbH8PtRh4
_cell_length_a 5.6647
_cell_length_b 5.6647
_cell_length_c 13.7685
_cell_angle_alpha 90.00
_cell_angle_beta 90.00
_cell_angle_gamma 120.00
_space_group_name_H-M_alt 'R 3 m'
_space_group_IT_number 160
_space_group_name_Hall 'R 3 -2"'
loop_
_atom_site_label
_atom_site_fract_x
_atom_site_fract_y
_atom_site_fract_z
Tb1 0.0000 0.0000 0.0000
H1 0.0000 0.0000 0.3830
H2 0.0000 0.0000 0.8420
H3 0.0639 0.5320 0.8311
H4 0.0919 0.5459 0.3810
Pt1 0.0000 0.0000 0.6152
Rh1 0.0000 0.0000 0.2484
Rh2 0.0049 0.5025 0.1229
```

Summary:
- crystal system = trigonal



No. 13
DFT (PBE) results for an optimized crystal structure of Tc2HPtRh.

```
data_Tc2HPtRh
_cell_length_a 3.8872
_cell_length_b 3.8872
_cell_length_c 4.0276
_cell_angle_alpha 90.00
_cell_angle_beta 90.00
_cell_angle_gamma 90.00
_space_group_name_H-M_alt 'P 4/m m m'
_space_group_IT_number 123
_space_group_name_Hall '-P 4 2'
loop_
_atom_site_label
_atom_site_fract_x
_atom_site_fract_y
_atom_site_fract_z
Tc1 0.0000 0.5000 0.0000
H1 0.0000 0.0000 0.0000
Pt1 0.0000 0.0000 0.5000
Rh1 0.5000 0.5000 0.5000
```

Summary:
- crystal system = tetragonal
- energy relative to the lowest polymorph listed for this composition (eV/f.u.) = 0.31



Number 1: E -0.496 Ry/atom, mass density 11.6 g cm⁻³. Number 2: E -0.366 Ry/atom, mass density 9.8 g cm⁻³. Number 3: E -0.360 Ry/atom, mass density 10.9 g cm⁻³. Number 4: E -0.413 Ry/atom, mass density 15.0 g cm⁻³. Number 5: E -0.313 Ry/atom, mass density 7.1 g cm⁻³. Number 6: E -0.531 Ry/atom, mass density 17.2 g cm⁻³. Number 7: E -0.530 Ry/atom, mass density 17.1 g cm⁻³. Number 8: E -0.561 Ry/atom, mass density 15.3 g cm⁻³. Number 9: E -0.559 Ry/atom, mass density 15.3 g cm⁻³. Number 10: E -0.467 Ry/atom, mass density 13.4 g cm⁻³. Number 11: E -0.359 Ry/atom, mass density 11.1 g cm⁻³. Number 12: E -0.365 Ry/atom, mass density 10.1 g cm⁻³. Number 13: E -0.548 Ry/atom, mass density 13.5 g cm⁻³.